(1)
DFT (GGA-PBE) results for a geometry-optimized LiTiS2 structure.

formation energy without anion corrections = -1.1977 eV/atom
Fermi-level density of states = 1.58 states/eV/f.u.

```
4
Lattice="-6.725 -2.628 2.481 -4.615 -5.431 2.735 -4.626 -3.002 5.279" Properties=species:S:1:pos:R:3 pbc="T T T"
S -14.333 -9.930 9.421
S -1.633 -1.132 1.074
Li 0.000 0.000 0.000
Ti -7.983 -5.531 5.247
```

(2)
DFT (GGA-PBE) results for a geometry-optimized Li8TiS6 structure.

formation energy without anion corrections = -1.2706 eV/atom
excess energy over the best structure of this formula in the dataset = 0.055 eV per atom
Fermi-level density of states = 0.00 states/eV/f.u.

```
60
Lattice="-6.364 2.661 1.335 -3.988 -5.881 -7.289 -2.389 -10.694 9.934" Properties=species:S:1:pos:R:3 pbc="T T T"
Li -6.706 -3.629 -4.896
Li -4.236 -3.134 -2.856
Li -6.289 0.153 0.255
Li -9.512 -2.934 -4.487
Li -2.627 -0.306 1.502
Li -7.318 -5.669 -3.090
Li -5.054 -1.949 2.050
Li -4.363 -7.828 -4.780
Li -5.727 -4.343 0.262
Li -3.896 -6.358 -2.134
Li -2.302 -4.771 0.549
Li -8.463 -4.870 1.269
Li -5.322 -5.741 2.593
Li -5.947 -7.909 -0.536
Li -6.286 -2.718 5.037
Li -2.590 -6.762 2.487
Li -10.617 -7.840 0.640
Li -4.795 -8.747 1.978
Li -6.518 -5.598 5.019
Li -8.201 -9.328 -0.045
Li -2.386 -6.254 6.168
Li -11.003 -9.974 2.399
Li -8.134 -6.508 7.412
Li -8.597 -11.905 0.825
Li -9.960 -8.419 5.866
Li -6.976 -10.916 3.228
Li -5.986 -9.077 6.038
Li -8.222 -10.818 5.935
Li -4.012 -12.135 7.035
Li -6.176 -13.660 4.229
Li -6.844 -8.331 9.870
Li -6.501 -10.973 8.023
Ti -7.295 -2.298 -1.462
Ti -2.713 -3.349 3.987
Ti -8.146 -7.789 3.433
Ti -3.564 -8.840 8.882
S -7.509 -1.765 -3.630
S -5.182 -2.074 -0.660
S -8.814 -5.187 -5.143
S -4.961 -5.184 -4.144
S -2.171 -3.538 -1.578
S -7.874 -4.437 -1.042
S -2.671 -2.708 1.825
S -7.944 -7.822 -2.072
S -6.773 -3.706 2.763
S -4.277 -6.438 0.491
S -4.576 -8.954 -2.548
S -3.511 -5.429 4.246
S -8.388 -7.244 1.272
S -9.070 -6.294 4.872
S -10.421 -10.362 -0.090
S -6.180 -10.521 0.828
S -5.956 -7.802 3.932
S -9.097 -9.772 3.931
S -3.894 -8.043 6.798
S -11.729 -12.085 3.439
S -7.992 -9.043 7.735
S -5.884 -11.613 5.545
S -8.464 -13.175 2.984
S -4.390 -10.907 9.147
```

(3)
DFT (GGA-PBE) results for a geometry-optimized Li2Ti2S5 structure.

formation energy without anion corrections = -1.2388 eV/atom

```
18
Lattice="6.143 0.011 0.011 2.979 5.373 0.011 4.356 2.571 10.825" Properties=species:S:1:pos:R:3 pbc="T T T"
Li 7.501 3.484 1.925
Li 8.854 6.167 7.337
Li 4.625 1.787 3.510
Li 5.978 4.470 8.923
Ti 4.542 5.131 0.639
Ti 4.614 5.174 4.796
Ti 8.865 2.781 6.052
Ti 8.937 2.824 10.208
S 8.523 5.024 5.003
S 10.696 6.318 10.416
S 8.165 1.949 3.930
S 5.199 4.099 2.718
S 5.647 0.463 1.505
S 7.832 7.491 9.343
S 8.280 3.856 8.130
S 5.314 6.005 6.918
S 2.783 1.637 0.432
S 4.956 2.931 5.845
```

(4)
DFT (GGA-PBE) results for a geometry-optimized Li2TiS3 structure.

formation energy without anion corrections = -1.3080 eV/atom
excess energy over the best structure of this formula in the dataset = 0.032 eV per atom

```
12
Lattice="-4.328 1.232 -4.154 -1.941 -5.564 2.050 -0.606 4.931 3.774" Properties=species:S:1:pos:R:3 pbc="T T T"
Li -2.906 -4.337 1.162
Li -2.024 2.601 2.302
Li -3.969 4.937 0.507
Li -4.851 -2.001 -0.632
Ti -2.469 -0.903 1.726
Ti -4.406 1.502 -0.057
S -4.887 1.833 -2.411
S -2.922 -0.348 -0.591
S -0.970 -2.782 1.025
S -1.988 -1.234 4.081
S -2.467 3.082 -0.190
S -3.953 0.947 2.261
```

(5)
DFT (GGA-PBE) results for a geometry-optimized LiTiS2 structure.

formation energy without anion corrections = -1.2095 eV/atom
Fermi-level density of states = 0.89 states/eV/f.u.

```
8
Lattice="5.645 0.000 0.000 0.000 5.645 0.000 2.823 2.823 5.385" Properties=species:S:1:pos:R:3 pbc="T T T"
S 4.337 1.411 1.346
S 1.308 4.234 1.346
S 4.234 4.131 4.039
S 7.057 7.160 4.039
Li 2.823 2.823 0.000
Li 2.823 5.645 2.693
Ti 0.000 0.000 0.000
Ti 5.645 2.823 2.693
```

(6)
DFT (GGA-PBE) results for a geometry-optimized Li3TiS structure.

formation energy without anion corrections = 0.0651 eV/atom
excess energy over the best structure of this formula in the dataset = 0.000 eV per atom
Fermi-level density of states = 7.37 states/eV/f.u.

```
5
Lattice="-3.099 3.259 -0.286 -2.985 -2.656 2.085 1.339 1.623 3.985" Properties=species:S:1:pos:R:3 pbc="T T T"
S 0.000 0.000 0.000
Li -1.492 -1.328 1.042
Li 0.670 0.812 1.993
Li -1.550 1.630 -0.143
Ti -2.373 1.113 2.892
```

(7)
DFT (GGA-PBE) results for a geometry-optimized Li2TiS structure.

formation energy without anion corrections = -0.3496 eV/atom
Fermi-level density of states = 3.16 states/eV/f.u.

```
8
Lattice="-6.201 1.654 -4.255 -1.434 -7.520 -0.833 -5.152 -2.896 -0.585" Properties=species:S:1:pos:R:3 pbc="T T T"
S -3.818 -2.933 -2.544
S -5.202 -6.674 -1.981
Li -4.828 -0.768 -2.556
Li -3.475 -5.080 -1.552
Li -6.847 -4.997 -2.416
Li -10.426 -6.679 -4.821
Ti 0.000 0.000 0.000
Ti -7.586 -2.087 -3.692
```

(8)
DFT (GGA-PBE) results for a geometry-optimized LiTi3S structure.

formation energy without anion corrections = -0.2147 eV/atom
excess energy over the best structure of this formula in the dataset = 0.000 eV per atom
Fermi-level density of states = 5.19 states/eV/f.u.

```
5
Lattice="4.536 0.000 0.000 0.000 4.536 0.000 0.000 0.000 4.536" Properties=species:S:1:pos:R:3 pbc="T T T"
S 0.000 0.000 0.000
Li 2.268 2.268 2.268
Ti 0.000 2.268 0.000
Ti 0.000 0.000 2.268
Ti 2.268 0.000 0.000
```

(9)
DFT (GGA-PBE) results for a geometry-optimized LiTiS2 structure.

formation energy without anion corrections = -0.4048 eV/atom
Fermi-level density of states = 3.81 states/eV/f.u.

```
4
Lattice="2.042 0.000 7.578 -1.021 1.768 7.578 -1.021 -1.768 7.578" Properties=species:S:1:pos:R:3 pbc="T T T"
S 0.000 0.000 20.524
S 0.000 0.000 2.209
Li 0.000 0.000 11.367
Ti 0.000 0.000 0.000
```

(10)
DFT (GGA-PBE) results for a geometry-optimized LiTiS structure.

formation energy without anion corrections = -1.0302 eV/atom
Fermi-level density of states = 1.07 states/eV/f.u.

```
6
Lattice="3.713 0.000 0.000 0.000 3.713 0.000 0.000 0.000 6.609" Properties=species:S:1:pos:R:3 pbc="T T T"
Li 0.000 1.857 5.661
Li 1.857 0.000 0.948
S 0.000 1.857 1.549
S 1.857 0.000 5.060
Ti 1.857 1.857 3.304
Ti 0.000 0.000 3.304
```